1.
! TlCdPb2 (PBE, optimized geometry); values from VASP
! Formation energy from the elements = 0.051 eV per atom
! DFT total energy = -2.62 eV/atom
! Energy relative to the lowest polymorph listed for this composition = 34 meV per atom
! V = 117.4 Å³/f.u.
&SYSTEM
  ibrav = 0, nat = 4, ntyp = 3
/
ATOMIC_SPECIES
Pb 207.20 Pb.upf
Tl 204.38 Tl.upf
Cd 112.41 Cd.upf
CELL_PARAMETERS angstrom
6.5149 0.0524 0.0951
2.9413 5.8133 -0.0951
-4.0647 -4.0023 3.1488
ATOMIC_POSITIONS angstrom
Pb 0.1269 0.0787 0.0000
Pb 3.5827 -0.5125 1.6219
Tl 4.5994 2.8530 0.0000
Cd 1.8105 2.3770 1.5268


2.
! AsSe3 (PBE, optimized geometry); values from VASP
! DFT total energy = -3.55 eV/atom
! Energy relative to the lowest polymorph listed for this composition = 157 meV per atom
! Formation energy from raw total energies = 0.23 eV per atom
! V = 105.1 Å³/f.u.
&SYSTEM
  ibrav = 0, nat = 8, ntyp = 2
/
ATOMIC_SPECIES
As 74.92 As.upf
Se 78.96 Se.upf
CELL_PARAMETERS angstrom
15.3533 3.1544 0.4408
13.4603 7.9520 1.2055
-14.3972 -5.9598 1.7519
ATOMIC_POSITIONS angstrom
As 18.9365 7.2992 1.0819
As 9.8771 3.8072 0.5643
Se -0.4684 0.9961 1.4787
Se 0.4780 -1.4027 1.0963
Se 7.6814 1.3739 1.5079
Se 6.7350 3.7726 1.8903
Se 25.1004 9.6751 1.4341
Se 3.7132 1.4313 0.2122


3.
! YZnGeC2 (PBE, optimized geometry); values from VASP
! Formation energy from the elements = 1.647 eV per atom
! DFT total energy = -4.51 eV/atom
! V = 90.2 Å³/f.u.
&SYSTEM
  ibrav = 0, nat = 5, ntyp = 4
/
ATOMIC_SPECIES
Y 88.91 Y.upf
C 12.01 C.upf
Ge 72.64 Ge.upf
Zn 65.41 Zn.upf
CELL_PARAMETERS angstrom
4.0646 0.0000 0.0000
0.0000 5.4597 0.0000
0.0000 0.0000 4.0646
ATOMIC_POSITIONS angstrom
Y 0.0000 2.7299 0.0000
C 0.0000 0.0000 2.0323
C 2.0323 0.0000 0.0000
Ge 0.0000 0.0000 0.0000
Zn 2.0323 2.7299 2.0323


4.
! GaIrC3 (PBE, optimized geometry); values from VASP
! Formation energy from the elements = 2.043 eV per atom
! DFT total energy = -5.87 eV/atom
! Energy relative to the lowest polymorph listed for this composition = 0 meV per atom
! V = 65.1 Å³/f.u.
&SYSTEM
  ibrav = 0, nat = 5, ntyp = 3
/
ATOMIC_SPECIES
C 12.01 C.upf
Ir 192.22 Ir.upf
Ga 69.72 Ga.upf
CELL_PARAMETERS angstrom
4.0231 0.0000 0.0000
0.0000 4.0231 0.0000
0.0000 0.0000 4.0231
ATOMIC_POSITIONS angstrom
C 0.0000 2.0115 0.0000
C 0.0000 0.0000 2.0115
C 2.0115 0.0000 0.0000
Ir 0.0000 0.0000 0.0000
Ga 2.0115 2.0115 2.0115


5.
! PmGa2Pd2Au (PBE, optimized geometry); values from VASP
! Formation energy from the elements = -0.254 eV per atom
! DFT total energy = -4.33 eV/atom
! V = 129.7 Å³/f.u.
&SYSTEM
  ibrav = 0, nat = 6, ntyp = 4
/
ATOMIC_SPECIES
Pm 145.00 Pm.upf
Ga 69.72 Ga.upf
Pd 106.42 Pd.upf
Au 196.97 Au.upf
CELL_PARAMETERS angstrom
4.7633 0.0000 0.0000
0.0000 4.7633 0.0000
0.0000 0.0000 5.7165
ATOMIC_POSITIONS angstrom
Pm 0.0000 0.0000 2.8582
Ga 2.3816 0.0000 0.0000
Ga 0.0000 2.3816 0.0000
Pd 2.3816 2.3816 4.2544
Pd 2.3816 2.3816 1.4621
Au 0.0000 0.0000 0.0000


6.
! Nd2UGe3Ir4 (PBE, optimized geometry); values from VASP
! Formation energy from the elements = -0.702 eV per atom
! DFT total energy = -7.71 eV/atom
! V = 199.4 Å³/f.u.
&SYSTEM
  ibrav = 0, nat = 10, ntyp = 4
/
ATOMIC_SPECIES
Nd 144.24 Nd.upf
U 238.03 U.upf
Ge 72.64 Ge.upf
Ir 192.22 Ir.upf
CELL_PARAMETERS angstrom
-2.3384 -3.4834 0.7219
3.3630 -2.4463 -0.9106
2.9986 0.1813 10.5871
ATOMIC_POSITIONS angstrom
Nd -0.4869 -1.7004 2.7699
Nd 3.9978 -1.0831 7.7228
U 2.0116 -2.8742 5.1992
Ge 1.4993 0.0906 5.2935
Ge 1.4582 -1.5828 9.6376
Ge 2.0526 -1.2007 0.8551
Ir 0.5123 -2.9648 -0.0943
Ir 0.0000 0.0000 0.0000
Ir 0.7790 -1.6239 7.2394
Ir 2.7319 -1.1596 3.2534


- Look up the DFT total energy of the sixth one.
  -7.71 eV/atom


- What is the formula in the third record?
  YZnGeC2


- DFT total energy of number 6 (Nd2UGe3Ir4)?
  -7.71 eV/atom


- Among the records above, which one has the lowest V?
  GaIrC3